Record 1
The following is a PBE-GGA calculation of crystalline Li4AgAu at its relaxed geometry, from Alexandria via LeMat-Bulk.

Cell and atoms, written as POSCAR:
```
Li4AgAu
1.0
-1.2318 1.4889 4.6448
-3.7011 -2.3272 2.4889
1.0760 -2.9265 3.9479
Li Au Ag
4 1 1
Direct
0.8765 0.3745 0.3745
0.3745 0.3745 0.8765
0.3745 0.3745 0.3745
0.3745 0.8765 0.3745
0.0000 0.0000 0.0000
0.7500 0.7500 0.7500
```

Properties
excess energy over the best structure of this formula in the dataset = 160 meV/atom
V = 15.005 A^3/atom
SG = F-43m, No. 216

---

Record 2
The following is a PBE-GGA calculation of crystalline Ti2S2O at its relaxed geometry, from Alexandria via LeMat-Bulk.

Cell and atoms, written as POSCAR:
```
Ti2S2O
1.0
-2.7565 1.1538 -3.8007
-5.3155 -3.0019 -0.1312
-5.0844 3.0162 1.5281
Ti O S
4 2 4
Direct
0.1041 0.6141 0.1777
0.3959 0.8223 0.3859
0.6041 0.1777 0.6141
0.8959 0.3859 0.8223
0.7500 0.5000 0.5000
0.2500 0.5000 0.5000
0.1447 0.9792 0.7313
0.8553 0.0208 0.2687
0.3553 0.2687 0.0208
0.6447 0.7313 0.9792
```

Properties
excess energy over the best structure of this formula in the dataset = 0 meV/atom
V = 14.064 A^3/atom
SG = Ibam, No. 72
ΔE_f (raw) = -1743 meV/atom

---

Record 3
The following is a PBE-GGA calculation of crystalline CdRh3 at its relaxed geometry, from Alexandria via LeMat-Bulk.

Cell and atoms, written as POSCAR:
```
CdRh3
1.0
5.0331 0.0000 0.0000
0.0000 5.0331 0.0000
0.0000 0.0000 5.0331
Rh Cd
6 2
Direct
0.2500 0.5000 0.0000
0.5000 0.0000 0.7500
0.0000 0.2500 0.5000
0.5000 0.0000 0.2500
0.0000 0.7500 0.5000
0.7500 0.5000 0.0000
0.0000 0.0000 0.0000
0.5000 0.5000 0.5000
```

Properties
V = 15.937 A^3/atom
SG = Pm-3n, No. 223
VASP energy = -5.486 eV/atom

---

Record 4
The following is a PBE-GGA calculation of crystalline NbCd2MoH at its relaxed geometry, from Alexandria via LeMat-Bulk.

Cell and atoms, written as POSCAR:
```
NbCd2MoH
1.0
-4.1794 -3.2792 -0.5222
1.9817 -2.4350 -0.5690
0.1862 -1.0696 5.2263
Mo Cd H Nb
1 2 1 1
Direct
0.0000 0.0000 0.0000
0.5000 0.0000 0.0000
0.0000 0.0000 0.5000
0.0000 0.5000 0.0000
0.5000 0.5000 0.5000
```

Properties
V = 18.182 A^3/atom
SG = P4/mmm, No. 123
VASP energy = -4.253 eV/atom

---

Record 5
The following is a PBE-GGA calculation of crystalline LaTb3Ni at its relaxed geometry, from Alexandria via LeMat-Bulk.

Cell and atoms, written as POSCAR:
```
LaTb3Ni
1.0
-5.2762 -0.5528 0.8838
0.1121 -4.8341 -2.3546
1.0364 -2.2916 4.7540
Tb Ni La
3 1 1
Direct
0.5000 0.0000 0.0000
0.0000 0.5000 0.0000
0.0000 0.0000 0.5000
0.0000 0.0000 0.0000
0.5000 0.5000 0.5000
```

Properties
V = 31.114 A^3/atom
SG = Pm-3m, No. 221
VASP energy = -4.991 eV/atom

---

Record 6
The following is a PBE-GGA calculation of crystalline Cs3OsC at its relaxed geometry, from Alexandria via LeMat-Bulk.

Cell and atoms, written as POSCAR:
```
Cs3OsC
1.0
-1.1802 1.8993 5.5799
4.5429 -3.3328 2.0953
3.7556 4.6283 -0.7810
C Cs Os
1 3 1
Direct
0.5000 0.5000 0.5000
0.5000 0.0000 0.0000
0.0000 0.0000 0.5000
0.0000 0.5000 0.0000
0.0000 0.0000 0.0000
```

Properties
V = 43.445 A^3/atom
SG = Pm-3m, No. 221
VASP energy = -2.561 eV/atom

---

Record 7
The following is a PBE-GGA calculation of crystalline CrIn2As at its relaxed geometry, from Alexandria via LeMat-Bulk.

Cell and atoms, written as POSCAR:
```
CrIn2As
1.0
-2.1001 -1.3566 2.8019
-2.6618 -1.1977 -2.5750
0.6392 -6.0650 -2.4573
In Cr As
2 1 1
Direct
0.0000 0.0010 0.9996
0.0000 0.4990 0.5004
0.5000 0.7500 0.7500
0.5000 0.2500 0.2500
```

Properties
V = 21.276 A^3/atom
SG = P2/m, No. 10
VASP energy = -4.611 eV/atom

---

Record 8
The following is a PBE-GGA calculation of crystalline Na2Nb3F9 at its relaxed geometry, from Alexandria via LeMat-Bulk.

Cell and atoms, written as POSCAR:
```
Na2Nb3F9
1.0
8.1674 -0.1825 -1.9330
-2.8343 6.6624 -3.6927
-0.1854 0.0334 8.1253
Na F Nb
4 18 6
Direct
0.1613 0.2070 0.5047
0.1613 0.5047 0.2070
0.8387 0.7930 0.4953
0.8387 0.4953 0.7930
0.2783 0.3347 0.3347
0.1274 0.9177 0.5083
0.7845 0.0670 0.8465
0.4011 0.5526 0.7712
0.1113 0.7081 0.7081
0.7217 0.6653 0.6653
0.5989 0.2288 0.4474
0.5000 0.7825 0.2175
0.8726 0.4917 0.0823
0.1274 0.5083 0.9177
0.8887 0.2919 0.2919
0.5989 0.4474 0.2288
0.5000 0.2175 0.7825
0.8726 0.0823 0.4917
0.2155 0.9330 0.1535
0.4011 0.7712 0.5526
0.7845 0.8465 0.0670
0.2155 0.1535 0.9330
0.6775 0.2361 0.0354
0.6775 0.0354 0.2361
0.5895 0.8232 0.8232
0.3225 0.9646 0.7639
0.4105 0.1768 0.1768
0.3225 0.7639 0.9646
```

Properties
V = 15.593 A^3/atom
SG = C2/m, No. 12
ΔE_f (raw) = -2697 meV/atom